Ta2TeMo | SCAN | PBEsol geometry

Structure (POSCAR):
```
Ta2TeMo
1.0
2.978 0.000 0.000
0.000 4.708 0.000
-0.053 0.000 5.189
Ta Te Mo
2 1 1
direct
0.180 0.000 0.235 Ta
0.820 0.000 0.765 Ta
0.000 0.500 0.500 Te
0.500 0.500 0.000 Mo
```

Properties
- Space group: P2/m
- Final energy: -204.2 eV per cell
- V: 18.2 Å³/atom
- D(E_F): 2.093 states/eV/f.u.
- Density: 13.36 g/cm³
- Energy relative to the elements, uncorrected: 282 meV/atom

Ta2TeMo | SCAN | PBEsol geometry

Structure (POSCAR):
```
Ta2TeMo
1.0
-1.999 1.999 4.384
1.999 -1.999 4.384
1.999 1.999 -4.384
Ta Te Mo
2 1 1
direct
0.250 0.750 0.500 Ta
0.750 0.250 0.500 Ta
0.000 0.000 0.000 Te
0.500 0.500 0.000 Mo
```

Properties
- Space group: I4/mmm
- Final energy: -204.2 eV per cell
- V: 17.5 Å³/atom
- D(E_F): 2.949 states/eV/f.u.
- Density: 13.87 g/cm³
- Energy relative to the elements, uncorrected: 265 meV/atom

TaTiMo | SCAN | PBEsol geometry

Structure (POSCAR):
```
TaTiMo
1.0
4.820 -2.228 0.000
4.820 2.228 0.000
-3.152 0.000 4.538
Ta Ti Mo
2 2 2
direct
0.174 0.174 0.101 Ta
0.826 0.826 0.899 Ta
0.483 0.483 0.736 Ti
0.517 0.517 0.264 Ti
0.160 0.160 0.584 Mo
0.840 0.840 0.416 Mo
```

Properties
- Space group: C2/m
- Final energy: -235.9 eV per cell
- V: 16.2 Å³/atom
- ΔE_f: -144 meV/atom
- D(E_F): 2.987 states/eV/f.u.
- Density: 11.07 g/cm³

TaTi3Mo | SCAN | PBEsol geometry

Structure (POSCAR):
```
TaTi3Mo
1.0
4.618 0.000 0.000
0.000 4.618 0.000
0.000 0.000 4.618
Ta Ti Mo
1 3 1
direct
0.000 0.000 0.000 Ta
0.000 0.000 0.500 Ti
0.000 0.500 0.000 Ti
0.500 0.000 0.000 Ti
0.500 0.500 0.500 Mo
```

Properties
- Space group: Pm-3m
- Final energy: -142.8 eV per cell
- V: 19.7 Å³/atom
- ΔE_f: 1351 meV/atom
- D(E_F): 5.396 states/eV/f.u.
- Density: 7.09 g/cm³

Ta2TlMo | SCAN | PBEsol geometry

Structure (POSCAR):
```
Ta2TlMo
1.0
1.563 0.902 8.842
-1.563 0.902 8.842
0.000 -1.805 8.842
Ta Tl Mo
2 1 1
direct
0.240 0.240 0.240 Ta
0.760 0.760 0.760 Ta
0.000 0.000 0.000 Tl
0.500 0.500 0.500 Mo
```

Properties
- Space group: R-3m
- Final energy: -239.0 eV per cell
- V: 18.7 Å³/atom
- ΔE_f: 341 meV/atom
- D(E_F): 2.372 states/eV/f.u.
- Relative energy among the computed polymorphs: 0.162 eV per atom
- Density: 14.69 g/cm³

Ta2TlMo | SCAN | PBEsol geometry

Structure (POSCAR):
```
Ta2TlMo
1.0
2.876 0.000 0.000
0.000 4.299 0.000
0.000 0.000 5.860
Ta Tl Mo
2 1 1
direct
0.000 0.000 0.000 Ta
0.500 0.500 0.240 Ta
0.000 0.000 0.507 Tl
0.500 0.500 0.771 Mo
```

Properties
- Space group: Pmm2
- Final energy: -238.6 eV per cell
- V: 18.1 Å³/atom
- ΔE_f: 440 meV/atom
- D(E_F): 2.969 states/eV/f.u.
- Relative energy among the computed polymorphs: 0.261 eV per atom
- Density: 15.18 g/cm³

Ta2TlMo | SCAN | PBEsol geometry

Structure (POSCAR):
```
Ta2TlMo
1.0
3.361 0.000 0.000
0.000 3.361 0.000
0.000 0.000 6.339
Ta Tl Mo
2 1 1
direct
0.000 0.000 0.223 Ta
0.000 0.000 0.777 Ta
0.500 0.500 0.500 Tl
0.500 0.500 0.000 Mo
```

Properties
- Space group: P4/mmm
- Final energy: -239.7 eV per cell
- V: 17.9 Å³/atom
- ΔE_f: 179 meV/atom
- D(E_F): 1.836 states/eV/f.u.
- Relative energy among the computed polymorphs: 0.000 eV per atom
- Density: 15.35 g/cm³

Ta2TlMo | SCAN | PBEsol geometry

Structure (POSCAR):
```
Ta2TlMo
1.0
-2.097 2.097 4.034
2.097 -2.097 4.034
2.097 2.097 -4.034
Ta Tl Mo
2 1 1
direct
0.250 0.750 0.500 Ta
0.750 0.250 0.500 Ta
0.000 0.000 0.000 Tl
0.500 0.500 0.000 Mo
```

Properties
- Space group: I4/mmm
- Final energy: -239.1 eV per cell
- V: 17.7 Å³/atom
- ΔE_f: 320 meV/atom
- D(E_F): 2.550 states/eV/f.u.
- Relative energy among the computed polymorphs: 0.140 eV per atom
- Density: 15.51 g/cm³

TaMo2W | SCAN | PBEsol geometry

Structure (POSCAR):
```
TaMo2W
1.0
2.758 0.000 0.000
0.000 4.469 0.000
-0.932 0.000 5.149
Ta Mo W
1 2 1
direct
0.000 0.000 0.000 Ta
0.251 0.500 0.750 Mo
0.494 0.000 0.500 Mo
0.739 0.500 0.253 W
```

Properties
- Space group: Pm
- Final energy: -206.5 eV per cell
- V: 15.9 Å³/atom
- ΔE_f: -103 meV/atom
- D(E_F): 1.343 states/eV/f.u.
- Relative energy among the computed polymorphs: 0.044 eV per atom
- Density: 14.56 g/cm³

TaMo2W | SCAN | PBEsol geometry

Structure (POSCAR):
```
TaMo2W
1.0
-1.583 2.246 4.468
1.583 -2.246 4.468
1.583 2.246 -4.468
Ta Mo W
1 2 1
direct
0.000 0.000 0.000 Ta
0.253 0.753 0.500 Mo
0.747 0.247 0.500 Mo
0.500 0.500 0.000 W
```

Properties
- Space group: Immm
- Final energy: -206.5 eV per cell
- V: 15.9 Å³/atom
- ΔE_f: -115 meV/atom
- D(E_F): 1.602 states/eV/f.u.
- Relative energy among the computed polymorphs: 0.032 eV per atom
- Density: 14.55 g/cm³

TaMo2W | SCAN | PBEsol geometry

Structure (POSCAR):
```
TaMo2W
1.0
3.165 0.000 0.000
0.000 4.460 0.000
0.000 0.000 4.500
Ta Mo W
1 2 1
direct
0.000 0.000 0.000 Ta
0.000 0.500 0.500 Mo
0.500 0.500 0.000 Mo
0.500 0.000 0.500 W
```

Properties
- Space group: Pmmm
- Final energy: -206.5 eV per cell
- V: 15.9 Å³/atom
- ΔE_f: -112 meV/atom
- D(E_F): 1.604 states/eV/f.u.
- Relative energy among the computed polymorphs: 0.035 eV per atom
- Density: 14.55 g/cm³

TaMo2W | SCAN | PBEsol geometry

Structure (POSCAR):
```
TaMo2W
1.0
3.163 0.000 0.000
0.000 3.163 0.000
0.000 0.000 6.347
Ta Mo W
1 2 1
direct
0.000 0.000 0.000 Ta
0.000 0.000 0.502 Mo
0.500 0.500 0.746 Mo
0.500 0.500 0.257 W
```

Properties
- Space group: P4mm
- Final energy: -206.5 eV per cell
- V: 15.9 Å³/atom
- ΔE_f: -116 meV/atom
- D(E_F): 2.126 states/eV/f.u.
- Relative energy among the computed polymorphs: 0.031 eV per atom
- Density: 14.55 g/cm³

TaMo2W | SCAN | PBEsol geometry

Structure (POSCAR):
```
TaMo2W
1.0
1.582 -2.255 0.000
1.582 2.255 0.000
0.000 0.000 8.914
Ta Mo W
1 2 1
direct
0.000 0.000 0.000 Ta
0.000 0.000 0.497 Mo
0.500 0.500 0.255 Mo
0.500 0.500 0.742 W
```

Properties
- Space group: Cmm2
- Final energy: -206.3 eV per cell
- V: 15.9 Å³/atom
- ΔE_f: -73 meV/atom
- D(E_F): 1.680 states/eV/f.u.
- Relative energy among the computed polymorphs: 0.074 eV per atom
- Density: 14.54 g/cm³

TaMo2W | SCAN | PBEsol geometry

Structure (POSCAR):
```
TaMo2W
1.0
2.757 0.000 0.000
0.000 4.454 0.000
-0.907 0.000 5.169
Ta Mo W
1 2 1
direct
0.000 0.000 0.000 Ta
0.254 0.500 0.748 Mo
0.746 0.500 0.252 Mo
0.500 0.000 0.500 W
```

Properties
- Space group: P2/m
- Final energy: -206.5 eV per cell
- V: 15.9 Å³/atom
- ΔE_f: -104 meV/atom
- D(E_F): 1.265 states/eV/f.u.
- Relative energy among the computed polymorphs: 0.044 eV per atom
- Density: 14.56 g/cm³

TaMo2W | SCAN | PBEsol geometry

Structure (POSCAR):
```
TaMo2W
1.0
4.478 0.000 0.000
0.000 4.478 0.000
0.000 0.000 3.162
Ta Mo W
1 2 1
direct
0.000 0.000 0.000 Ta
0.000 0.500 0.500 Mo
0.500 0.000 0.500 Mo
0.500 0.500 0.000 W
```

Properties
- Space group: P4/mmm
- Final energy: -206.6 eV per cell
- V: 15.9 Å³/atom
- ΔE_f: -145 meV/atom
- D(E_F): 1.736 states/eV/f.u.
- Relative energy among the computed polymorphs: 0.002 eV per atom
- Density: 14.58 g/cm³

TaMo2W | SCAN | PBEsol geometry

Structure (POSCAR):
```
TaMo2W
1.0
1.583 -2.256 0.000
1.583 2.256 0.000
0.000 0.000 8.903
Ta Mo W
1 2 1
direct
0.000 0.000 0.000 Ta
0.500 0.500 0.255 Mo
0.500 0.500 0.745 Mo
0.000 0.000 0.500 W
```

Properties
- Space group: Cmmm
- Final energy: -206.4 eV per cell
- V: 15.9 Å³/atom
- ΔE_f: -82 meV/atom
- D(E_F): 1.670 states/eV/f.u.
- Relative energy among the computed polymorphs: 0.065 eV per atom
- Density: 14.53 g/cm³

TaMo2W | SCAN | PBEsol geometry

Structure (POSCAR):
```
TaMo2W
1.0
-1.582 2.233 4.492
1.582 -2.233 4.492
1.582 2.233 -4.492
Ta Mo W
1 2 1
direct
0.000 0.000 0.000 Ta
0.501 0.501 0.000 Mo
0.748 0.248 0.500 Mo
0.255 0.755 0.500 W
```

Properties
- Space group: Imm2
- Final energy: -206.6 eV per cell
- V: 15.9 Å³/atom
- ΔE_f: -134 meV/atom
- D(E_F): 1.673 states/eV/f.u.
- Relative energy among the computed polymorphs: 0.014 eV per atom
- Density: 14.56 g/cm³

TaMo2W | SCAN | PBEsol geometry

Structure (POSCAR):
```
TaMo2W
1.0
0.000 3.164 3.164
3.164 0.000 3.164
3.164 3.164 0.000
Ta Mo W
1 2 1
direct
0.000 0.000 0.000 Ta
0.250 0.250 0.250 Mo
0.750 0.750 0.750 Mo
0.500 0.500 0.500 W
```

Properties
- Space group: Fm-3m
- Final energy: -206.6 eV per cell
- V: 15.8 Å³/atom
- ΔE_f: -147 meV/atom
- D(E_F): 1.996 states/eV/f.u.
- Relative energy among the computed polymorphs: 0.000 eV per atom
- Density: 14.59 g/cm³

TaMo2W | SCAN | PBEsol geometry

Structure (POSCAR):
```
TaMo2W
1.0
0.000 3.166 3.166
3.166 0.000 3.166
3.166 3.166 0.000
Ta Mo W
1 2 1
direct
0.000 0.000 0.000 Ta
0.500 0.500 0.500 Mo
0.750 0.750 0.750 Mo
0.250 0.250 0.250 W
```

Properties
- Space group: F-43m
- Final energy: -206.5 eV per cell
- V: 15.9 Å³/atom
- ΔE_f: -107 meV/atom
- D(E_F): 1.842 states/eV/f.u.
- Relative energy among the computed polymorphs: 0.041 eV per atom
- Density: 14.56 g/cm³

TaMo2W | SCAN | PBEsol geometry

Structure (POSCAR):
```
TaMo2W
1.0
2.750 -4.459 0.000
2.750 4.459 0.000
-0.925 0.000 2.589
Ta Mo W
1 2 1
direct
0.000 0.000 0.000 Ta
0.000 0.500 0.500 Mo
0.500 0.000 0.500 Mo
0.500 0.500 0.000 W
```

Properties
- Space group: C2/m
- Final energy: -206.5 eV per cell
- V: 15.9 Å³/atom
- ΔE_f: -104 meV/atom
- D(E_F): 1.560 states/eV/f.u.
- Relative energy among the computed polymorphs: 0.044 eV per atom
- Density: 14.56 g/cm³